ThNi4Ge4 | Alexandria | PBE | relaxed; calculated density = 8.42 g/cm³; density of states at the Fermi level = 3.37 states/eV/f.u.; formation energy from the elements = -0.31 eV/atom
1.0
4.5891 0.0000 0.0000
0.0000 8.0666 0.0000
0.0000 0.0000 8.0666
Ge Ni Th
8 8 2
direct
0.5003 0.8904 0.6334
0.0003 0.8666 0.3904
0.4997 0.6334 0.1096
0.4997 0.3666 0.8904
0.0003 0.1334 0.6096
0.9997 0.3904 0.1334
0.9997 0.6096 0.8666
0.5003 0.1096 0.3666
0.4997 0.3244 0.1804
0.9997 0.6804 0.1756
0.4997 0.6756 0.8196
0.0003 0.8244 0.6804
0.5003 0.1804 0.6756
0.0003 0.1756 0.3196
0.5003 0.8196 0.3244
0.9997 0.3196 0.8244
0.5000 0.5000 0.5000
0.0000 0.0000 0.0000